# 1
VASP calculation (PBE-GGA) on a geometry-optimized LiYHoAg structure.

a = 5.156 Å, b = 5.156 Å, c = 5.156 Å
α = 60.00°, β = 60.00°, γ = 60.00°
Positions (direct):
Y  0.750  0.750  0.750
Li  0.500  0.500  0.500
Ho  0.250  0.250  0.250
Ag  0.000  0.000  0.000

Results
Offset from the most stable computed form in meV per atom: 11
Fermi-level density of states in states/eV/cell: 3.7

# 2
VASP calculation (PBE-GGA) on a geometry-optimized LiYHoAg structure.

a = 3.683 Å, b = 5.105 Å, c = 5.148 Å
α = 90.00°, β = 90.00°, γ = 90.00°
Positions (direct):
Li  0.500  0.500  0.000
Ag  0.500  0.000  0.500
Ho  0.000  0.500  0.500
Y  0.000  0.000  0.000

Results
Offset from the most stable computed form in meV per atom: 0
Fermi-level density of states in states/eV/cell: 3.1

# 3
VASP calculation (PBE-GGA) on a geometry-optimized LiHoZn2Ag4 structure.

a = 4.646 Å, b = 4.646 Å, c = 8.126 Å
α = 73.39°, β = 73.39°, γ = 60.00°
Positions (direct):
Zn  0.747  0.747  0.759
Zn  0.253  0.253  0.241
Ag  0.868  0.868  0.395
Ag  0.132  0.132  0.605
Ag  0.390  0.390  0.830
Ag  0.610  0.610  0.170
Ho  0.000  0.000  0.000
Li  0.500  0.500  0.500

Results
Fermi-level density of states in states/eV/cell: 3.0

# 4
VASP calculation (PBE-GGA) on a geometry-optimized LiHoZn2Ag5 structure.

a = 4.757 Å, b = 4.757 Å, c = 8.031 Å
α = 90.00°, β = 90.00°, γ = 90.00°
Positions (direct):
Zn  0.500  0.500  0.851
Zn  0.500  0.500  0.149
Ag  0.500  0.000  0.268
Ag  0.000  0.500  0.268
Ag  0.500  0.000  0.732
Ag  0.000  0.500  0.732
Ag  0.500  0.500  0.500
Ho  0.000  0.000  0.500
Li  0.000  0.000  0.000

Results
Fermi-level density of states in states/eV/cell: 4.4

# 5
VASP calculation (PBE-GGA) on a geometry-optimized Li2HoZn2Ag2 structure.

a = 4.545 Å, b = 4.572 Å, c = 7.734 Å
α = 107.25°, β = 90.00°, γ = 119.80°
Positions (direct):
Li  0.142  0.284  0.425
Li  0.858  0.716  0.575
Ho  0.000  0.000  0.000
Zn  0.422  0.843  0.261
Zn  0.578  0.157  0.739
Ag  0.739  0.479  0.217
Ag  0.261  0.521  0.783

Results
Fermi-level density of states in states/eV/cell: 3.4

# 6
VASP calculation (PBE-GGA) on a geometry-optimized HoLuAg2 structure.

a = 3.563 Å, b = 3.563 Å, c = 7.293 Å
α = 90.00°, β = 90.00°, γ = 90.00°
Positions (direct):
Lu  0.500  0.500  0.000
Ag  0.000  0.000  0.242
Ag  0.000  0.000  0.758
Ho  0.500  0.500  0.500

Results
Offset from the most stable computed form in meV per atom: 0
Fermi-level density of states in states/eV/cell: 2.5

# 7
VASP calculation (PBE-GGA) on a geometry-optimized HoLuAg structure.

a = 3.543 Å, b = 3.543 Å, c = 6.671 Å
α = 105.40°, β = 105.40°, γ = 90.00°
Positions (direct):
Ag  0.663  0.663  0.326
Ho  0.318  0.318  0.636
Lu  0.019  0.019  0.038

Results
Offset from the most stable computed form in meV per atom: 0
Fermi-level density of states in states/eV/cell: 3.5

# 8
VASP calculation (PBE-GGA) on a geometry-optimized Ho2LuAg structure.

a = 3.525 Å, b = 3.525 Å, c = 8.757 Å
α = 90.00°, β = 90.00°, γ = 90.00°
Positions (direct):
Lu  0.500  0.500  0.500
Ag  0.500  0.500  0.000
Ho  0.000  0.000  0.781
Ho  0.000  0.000  0.219

Results
Offset from the most stable computed form in meV per atom: 0
Fermi-level density of states in states/eV/cell: 4.4

Number 1: energy relative to the elements -0.106 eV per atom, mass density 6.3 g cm⁻³. Number 2: energy relative to the elements -0.117 eV per atom, mass density 6.3 g cm⁻³. Number 3: energy relative to the elements -0.201 eV per atom, mass density 8.5 g cm⁻³. Number 4: energy relative to the elements -0.026 eV per atom, mass density 7.7 g cm⁻³. Number 5: energy relative to the elements -0.215 eV per atom, mass density 6.7 g cm⁻³. Number 6: energy relative to the elements -0.333 eV per atom, mass density 10.0 g cm⁻³. Number 7: energy relative to the elements -0.181 eV per atom, mass density 9.6 g cm⁻³. Number 8: energy relative to the elements -0.128 eV per atom, mass density 9.4 g cm⁻³.